(1)
First-principles (PBE) data for crystalline Dy2TeBr at its relaxed geometry, as listed in Alexandria via LeMat-Bulk.

Results
Space-group type = R3m, No. 160
Volume = 109.82 Å³/cell
Formation energy from raw total energies = -1.044 eV/atom
D(E_F) = 3.8 states/eV/f.u.
Energy above the most stable polymorph in this dataset = 0 meV/atom

a b c (Å): 3.880 3.880 8.714
angles (deg): 77.14 77.14 60.00
Last column: magnetic moment on the atom in μB.
Fractional positions:
1 Dy 0.252 0.252 0.245  0.12
2 Te 0.666 0.666 0.001  0.00
3 Dy 0.082 0.082 0.754  0.06
4 Br 0.500 0.500 0.500  0.00


(2)
First-principles (PBE) data for crystalline YAg2Sb at its relaxed geometry, as listed in Alexandria via LeMat-Bulk.

Results
Space-group type = I-42d, No. 122
Volume = 197.71 Å³/cell
Formation energy from raw total energies = -0.260 eV/atom
D(E_F) = 2.6 states/eV/f.u.

a b c (Å): 4.269 4.269 11.262
angles (deg): 79.08 79.08 90.00
Fractional positions:
1 Y 0.500 0.500 0.000
2 Ag 0.117 0.625 0.250
3 Ag 0.633 0.125 0.250
4 Ag 0.375 0.367 0.750
5 Y 0.250 0.750 0.500
6 Sb 0.750 0.250 0.500
7 Ag 0.875 0.883 0.750
8 Sb 0.000 0.000 0.000


(3)
First-principles (PBE) data for crystalline SrAgRu2 at its relaxed geometry, as listed in Alexandria via LeMat-Bulk.

Results
Space-group type = C2/m, No. 12
Volume = 96.36 Å³/cell
D(E_F) = 3.3 states/eV/f.u.
Energy of formation = 0.457 eV/atom
Energy above the most stable polymorph in this dataset = 204 meV/atom

a b c (Å): 4.792 4.792 5.699
angles (deg): 70.11 70.11 52.72
Fractional positions:
1 Ru 0.958 0.958 0.188
2 Ru 0.542 0.542 0.312
3 Ag 0.250 0.250 0.250
4 Sr 0.750 0.750 0.750


(4)
First-principles (PBE) data for crystalline LiTl2Cd at its relaxed geometry, as listed in Alexandria via LeMat-Bulk.

Results
Space-group type = P4/mmm, No. 123
Volume = 99.91 Å³/cell
D(E_F) = 1.4 states/eV/f.u.
Energy of formation = -0.078 eV/atom

a b c (Å): 4.883 4.879 4.194
angles (deg): 90.00 90.00 90.00
Fractional positions:
1 Tl 0.500 0.500 0.000
2 Cd 0.500 0.000 0.500
3 Tl 0.000 0.000 0.000
4 Li 0.000 0.500 0.500


(5)
First-principles (PBE) data for crystalline Tb3NdF at its relaxed geometry, as listed in Alexandria via LeMat-Bulk.

Results
Space-group type = Pm-3m, No. 221
Volume = 131.94 Å³/cell
Formation energy from raw total energies = -0.936 eV/atom
D(E_F) = 5.0 states/eV/f.u.

a b c (Å): 5.091 5.091 5.091
angles (deg): 90.00 90.00 90.00
Fractional positions:
1 F 0.000 0.000 0.000
2 Tb 0.500 0.000 0.000
3 Nd 0.500 0.500 0.500
4 Tb 0.000 0.000 0.500
5 Tb 0.000 0.500 0.000


(6)
First-principles (PBE) data for crystalline NbTeHPdICl at its relaxed geometry, as listed in Alexandria via LeMat-Bulk.

Results
Space-group type = Pm, No. 6
Volume = 135.49 Å³/cell
D(E_F) = 1.6 states/eV/f.u.
Energy above the most stable polymorph in this dataset = 13 meV/atom

a b c (Å): 5.808 3.723 6.267
angles (deg): 90.00 90.62 90.00
Fractional positions:
1 Nb 0.316 0.000 0.530
2 Cl 0.074 0.000 0.229
3 H 0.548 0.000 0.794
4 Pd 0.533 0.500 0.803
5 I 0.591 0.500 0.290
6 Te 0.054 0.500 0.749


(7)
First-principles (PBE) data for crystalline ScNi2W at its relaxed geometry, as listed in Alexandria via LeMat-Bulk.

Results
Space-group type = C2/m, No. 12
Volume = 61.47 Å³/cell
D(E_F) = 4.1 states/eV/f.u.
Energy of formation = 0.121 eV/atom
Energy above the most stable polymorph in this dataset = 240 meV/atom

a b c (Å): 4.360 4.360 5.485
angles (deg): 82.60 82.60 36.52
Fractional positions:
1 Ni 0.000 0.000 0.950
2 Ni 0.500 0.500 0.550
3 Sc 0.250 0.250 0.250
4 W 0.750 0.750 0.750


(8)
First-principles (PBE) data for crystalline La2TaCo at its relaxed geometry, as listed in Alexandria via LeMat-Bulk.

Results
Space-group type = F-43m, No. 216
Volume = 86.52 Å³/cell
D(E_F) = 6.5 states/eV/f.u.
Energy of formation = 0.564 eV/atom
Energy above the most stable polymorph in this dataset = 458 meV/atom

a b c (Å): 4.965 4.965 4.965
angles (deg): 60.00 60.00 60.00
Last column: magnetic moment on the atom in μB.
Fractional positions:
1 Ta 0.250 0.250 0.250  -0.08
2 Co 0.500 0.500 0.500  0.52
3 La 0.000 0.000 0.000  -0.04
4 La 0.750 0.750 0.750  -0.04


(9)
First-principles (PBE) data for crystalline BaAuF at its relaxed geometry, as listed in Alexandria via LeMat-Bulk.

Results
Space-group type = Ima2, No. 46
Volume = 468.68 Å³/cell
Formation energy from raw total energies = -2.038 eV/atom
D(E_F) = 0.0 states/eV/f.u.
Energy above the most stable polymorph in this dataset = 178 meV/atom

a b c (Å): 7.382 8.794 8.794
angles (deg): 75.92 65.18 65.18
Fractional positions:
1 Au 0.735 0.260 0.760
2 Au 0.307 0.953 0.453
3 Au 0.712 0.047 0.547
4 F 0.562 0.000 0.000
5 Au 0.718 0.535 0.035
6 F 0.247 0.346 0.404
7 F 0.997 0.654 0.596
8 Ba 0.603 0.678 0.668
9 Ba 0.603 0.168 0.178
10 F 0.997 0.096 0.154
11 F 0.247 0.904 0.846
12 Au 0.287 0.465 0.965
13 Ba 0.209 0.239 0.739
14 Ba 0.187 0.761 0.261
15 Ba 0.949 0.322 0.332
16 Au 0.754 0.740 0.240
17 F 0.562 0.500 0.500
18 Ba 0.949 0.832 0.822


(10)
First-principles (PBE) data for crystalline Tb4ScAg at its relaxed geometry, as listed in Alexandria via LeMat-Bulk.

Results
Space-group type = P4/mmm, No. 123
Volume = 169.43 Å³/cell
D(E_F) = 7.1 states/eV/f.u.
Energy of formation = -0.066 eV/atom
Energy above the most stable polymorph in this dataset = 0 meV/atom

a b c (Å): 3.524 3.524 13.642
angles (deg): 90.00 90.00 90.00
Fractional positions:
1 Tb 0.000 0.000 0.357
2 Tb 0.500 0.500 0.831
3 Tb 0.000 0.000 0.643
4 Ag 0.500 0.500 0.500
5 Tb 0.500 0.500 0.169
6 Sc 0.000 0.000 0.000


(11)
First-principles (PBE) data for crystalline Rb3FePd at its relaxed geometry, as listed in Alexandria via LeMat-Bulk.

Results
Space-group type = Pm-3m, No. 221
Volume = 267.45 Å³/cell
D(E_F) = 2.8 states/eV/f.u.
Energy of formation = 0.769 eV/atom
Energy above the most stable polymorph in this dataset = 0 meV/atom

a b c (Å): 6.443 6.443 6.443
angles (deg): 90.00 90.00 90.00
Last column: magnetic moment on the atom in μB.
Fractional positions:
1 Fe 0.500 0.500 0.500  3.05
2 Rb 0.000 0.000 0.500  -0.01
3 Pd 0.000 0.000 0.000  0.00
4 Rb 0.500 0.000 0.000  -0.01
5 Rb 0.000 0.500 0.000  -0.01


(12)
First-principles (PBE) data for crystalline TbTiC at its relaxed geometry, as listed in Alexandria via LeMat-Bulk.

Results
Space-group type = P3m1, No. 156
Volume = 53.67 Å³/cell
D(E_F) = 3.9 states/eV/f.u.
Energy of formation = -0.264 eV/atom
Energy above the most stable polymorph in this dataset = 0 meV/atom

a b c (Å): 5.627 3.319 3.319
angles (deg): 120.00 90.00 90.00
Last column: magnetic moment on the atom in μB.
Fractional positions:
1 Ti 0.203 0.333 0.667  0.13
2 Tb 0.756 0.667 0.333  0.06
3 C 0.041 0.000 0.000  -0.01